Sm3Mg2Al3 | PBE | relaxed

## Properties
M_tot ... 0.00 μB per cell
DFT formation energy ... -250 meV per atom
Electronic total energy ... -3.82 eV per atom
Crystal system ... trigonal

Cell and atoms, written as POSCAR:
```
Sm3Mg2Al3
1.0
5.6374 0.0000 0.0000
2.8187 4.8821 0.0000
2.8187 1.6274 7.1425
Al Sm Mg
3 3 2
direct
0.0000 0.5000 0.0000 Al
0.5000 0.0000 0.0000 Al
0.5000 0.5000 0.0000 Al
0.0740 0.0740 0.7780 Sm
0.9260 0.9260 0.2220 Sm
0.5000 0.5000 0.5000 Sm
0.2207 0.2207 0.3380 Mg
0.7793 0.7793 0.6620 Mg
```